The following is a DFT calculation (GGA-PBE) of a geometry-optimized HfHPd2 structure.

Cell: 4.399 4.399 4.399 Å, 60.00 60.00 60.00°
Element x y z (fractional)
Pd 0.750 0.750 0.750
Pd 0.250 0.250 0.250
Hf 0.500 0.500 0.500
H 0.000 0.000 0.000

Output
Offset from the most stable computed form ... 0.381 eV/atom
Fermi-level density of states ... 2.77 states/eV/cell

The following is a DFT calculation (GGA-PBE) of a geometry-optimized Pa2TiO8 structure.

Cell: 3.905 5.540 7.707 Å, 107.76 90.00 110.63°
Element x y z (fractional)
O 0.564 0.129 0.759
O 0.436 0.871 0.241
O 0.834 0.668 0.494
O 0.996 0.991 0.902
O 0.310 0.619 0.858
O 0.004 0.009 0.098
O 0.690 0.381 0.142
O 0.166 0.332 0.506
Pa 0.730 0.460 0.691
Pa 0.270 0.540 0.309
Ti 0.500 0.000 0.000

Output
ΔE_f (raw) ... -2.865 eV per atom
Fermi-level density of states ... 0.00 states/eV/cell

The following is a DFT calculation (GGA-PBE) of a geometry-optimized V3PbAu structure.

Cell: 4.877 4.877 4.877 Å, 90.00 90.00 90.00°
Each line ends with the local moment (μB).
Element x y z (fractional)
Au 0.000 0.000 0.000  -0.02
V 0.000 0.500 0.000  1.80
V 0.000 0.000 0.500  1.80
V 0.500 0.000 0.000  1.80
Pb 0.500 0.500 0.500  -0.11

Output
E_form ... 1.213 eV per atom
Offset from the most stable computed form ... 0.000 eV/atom
Fermi-level density of states ... 10.76 states/eV/cell